Below is a relaxed Y3CrO6 crystal, with properties calculated at the PBE+U level.

Geometry as POSCAR:
```
Y3CrO6
1.0
4.718 2.724 3.606
-4.718 2.724 3.606
0.000 -5.448 3.606
Y Cr O
6 2 12
Cartesian
-2.396 -2.379 5.017
-3.258 0.885 5.801
0.863 -3.264 5.801
-0.863 3.264 5.017
3.258 -0.885 5.017
2.396 2.379 5.801
0.000 0.000 0.000
0.000 0.000 5.409
-4.113 -1.221 5.972
-0.999 -4.173 4.846
-1.790 -0.232 4.366
-3.114 2.952 4.846
-0.694 -1.666 6.453
1.096 -1.434 4.366
-1.096 1.434 6.453
0.694 1.666 4.366
3.114 -2.952 5.972
1.790 0.232 6.453
0.999 4.173 5.972
4.113 1.221 4.846
```

Computed properties:
As for the symmetry: No. 148. The polymorph energy (0 for the lowest one) is 0.000 eV per atom. The density of states at the Fermi level comes out at 0.00 states/eV per cell. The calculation puts the total energy at -8.826 eV per atom.